[1]
Entry from the Alexandria database: a geometry-optimized Cd2AsRu structure (GGA-PBE).

Structure (CIF):
```
data_Cd2AsRu
_chemical_formula_sum 'Cd4 As2 Ru2'
_cell_length_a 3.0782
_cell_length_b 4.7104
_cell_length_c 11.5192
_cell_angle_alpha 90.00
_cell_angle_beta 90.00
_cell_angle_gamma 90.00
_space_group_name_H-M_alt 'I m m 2'
_space_group_IT_number 44
loop_
_space_group_symop_operation_xyz
'x,y,z'
'-x,-y,z'
'-x,y,z'
'x,-y,z'
'x+1/2,y+1/2,z+1/2'
'-x+1/2,-y+1/2,z+1/2'
'-x+1/2,y+1/2,z+1/2'
'x+1/2,-y+1/2,z+1/2'
loop_
_atom_site_label
_atom_site_type_symbol
_atom_site_fract_x
_atom_site_fract_y
_atom_site_fract_z
Cd1 Cd 0.0000 0.0000 0.0000
Cd2 Cd 0.0000 0.5000 0.1832
As1 As 0.0000 0.0000 0.3696
Ru1 Ru 0.0000 0.5000 0.7102
```

energy of formation = 25 kJ/mol of formula units

***

[2]
Entry from the Alexandria database: a geometry-optimized Cs2GaBI6 structure (GGA-PBE).

Structure (CIF):
```
data_Cs2GaBI6
_chemical_formula_sum 'Cs4 Ga2 B2 I12'
_cell_length_a 7.9946
_cell_length_b 7.9946
_cell_length_c 11.8644
_cell_angle_alpha 90.00
_cell_angle_beta 90.00
_cell_angle_gamma 90.00
_space_group_name_H-M_alt 'I 4/m m m'
_space_group_IT_number 139
_space_group_name_Hall '-I 4 2'
loop_
_atom_site_label
_atom_site_type_symbol
_atom_site_fract_x
_atom_site_fract_y
_atom_site_fract_z
Cs1 Cs 0.0000 0.5000 0.2500
Ga1 Ga 0.0000 0.0000 0.0000
B1 B 0.0000 0.0000 0.5000
I1 I 0.0000 0.0000 0.2562
I2 I 0.2293 0.2293 0.5000
```

ΔE_f (raw) = -4.4 eV/f.u.

***

no.,DFT total energy (eV per atom),density of states at the Fermi level (states/eV/atom),V (Å³ per atom)
1,-3.87,0.656,20.88
2,-2.52,0.136,37.92